# CrCoSnRh (PBE-GGA, relaxed)
# - total energy (eV/atom) = -7.12
# - energy of formation from the pure elements (kJ per mole of atoms) = -9.4
data_CrCoSnRh
_chemical_formula_sum 'Cr4 Co4 Sn4 Rh4'
_cell_length_a 6.1619
_cell_length_b 6.1619
_cell_length_c 6.1619
_cell_angle_alpha 90.00
_cell_angle_beta 90.00
_cell_angle_gamma 90.00
_symmetry_space_group_name_H-M 'F -4 3 m'
_symmetry_Int_Tables_number 216
_symmetry_space_group_name_Hall 'F -4 2 3'
loop_
_atom_site_label
_atom_site_type_symbol
_atom_site_fract_x
_atom_site_fract_y
_atom_site_fract_z
Cr1 Cr 0.0000 0.0000 0.0000
Co1 Co 0.2500 0.2500 0.7500
Sn1 Sn 0.0000 0.0000 0.5000
Rh1 Rh 0.2500 0.2500 0.2500

***

# CrCo2SnRh (PBE-GGA, relaxed)
# - total energy (eV/atom) = -5.99
# - energy of formation from the pure elements (kJ per mole of atoms) = 101.4
data_CrCo2SnRh
_chemical_formula_sum 'Cr1 Co2 Sn1 Rh1'
_cell_length_a 4.6047
_cell_length_b 4.6047
_cell_length_c 4.5531
_cell_angle_alpha 90.00
_cell_angle_beta 90.00
_cell_angle_gamma 90.00
_symmetry_space_group_name_H-M 'P 4/m m m'
_symmetry_Int_Tables_number 123
_symmetry_space_group_name_Hall '-P 4 2'
loop_
_atom_site_label
_atom_site_type_symbol
_atom_site_fract_x
_atom_site_fract_y
_atom_site_fract_z
Cr1 Cr 0.0000 0.0000 0.0000
Co1 Co 0.0000 0.5000 0.5000
Sn1 Sn 0.5000 0.5000 0.0000
Rh1 Rh 0.0000 0.0000 0.5000